(1)
# Ce2AlGa2, relaxed, DFT GGA-PBE
# Excess energy over the best structure of this formula in the dataset ... 0.15 eV per formula unit
data_Ce2AlGa2
_cell_length_a 4.242
_cell_length_b 5.808
_cell_length_c 9.234
_cell_angle_alpha 90.00
_cell_angle_beta 90.00
_cell_angle_gamma 90.00
_symmetry_space_group_name_H-M 'I m m m'
_symmetry_Int_Tables_number 71
_symmetry_space_group_name_Hall '-I 2 2'
loop_
_atom_site_label
_atom_site_type_symbol
_atom_site_fract_x
_atom_site_fract_y
_atom_site_fract_z
Ce1 Ce 0.000 0.000 0.208
Al1 Al 0.000 0.500 0.000
Ga1 Ga 0.000 0.273 0.500


(2)
A geometry-optimized CeAlGa2 structure. Source: the Alexandria database, functional GGA-PBE.

```
data_CeAlGa2
_cell_length_a 6.843
_cell_length_b 6.843
_cell_length_c 6.843
_cell_angle_alpha 90.00
_cell_angle_beta 90.00
_cell_angle_gamma 90.00
_symmetry_space_group_name_H-M 'F m -3 m'
_symmetry_Int_Tables_number 225
_symmetry_space_group_name_Hall '-F 4 2 3'
loop_
_atom_site_label
_atom_site_type_symbol
_atom_site_fract_x
_atom_site_fract_y
_atom_site_fract_z
Ce1 Ce 0.000 0.000 0.000
Al1 Al 0.000 0.000 0.500
Ga1 Ga 0.250 0.250 0.250
```


(3)
A geometry-optimized Ce3Al2Ga3 structure. Source: the Alexandria database, functional GGA-PBE.

```
data_Ce3Al2Ga3
_cell_length_a 4.365
_cell_length_b 11.220
_cell_length_c 14.767
_cell_angle_alpha 90.00
_cell_angle_beta 90.00
_cell_angle_gamma 90.00
_symmetry_space_group_name_H-M 'C m c m'
_symmetry_Int_Tables_number 63
_symmetry_space_group_name_Hall '-C 2c 2'
loop_
_atom_site_label
_atom_site_type_symbol
_atom_site_fract_x
_atom_site_fract_y
_atom_site_fract_z
Ce1 Ce 0.000 0.069 0.111
Ce2 Ce 0.000 0.360 0.250
Al1 Al 0.000 0.222 0.598
Ga1 Ga 0.000 0.354 0.750
Ga2 Ga 0.000 0.381 0.040
```


In order of appearance, E_form = -0.463, -0.355, -0.483 eV per atom.
In order of appearance, calculated volume = 228, 320, 723 Å³/cell.